(1)
Here is a relaxed structure of KPaO4 from Alexandria via LeMat-Bulk. Energies are from PBE.

a b c (Å): 3.7672 3.7672 6.6426
angles (deg): 90.00 90.00 90.00
Space group P4/mmm (No. 123)
Symmetry-distinct sites (fractional):
K: 0.0000 0.0000 0.0000 x1
Pa: 0.5000 0.5000 0.5000 x1
O: 0.0000 0.5000 0.3063 x4

Calculated total energy in eV/cell: -43.9
Fermi-level density of states in states/eV/cell: 5.248


(2)
Here is a relaxed structure of Li3CeNp2Se6 from Alexandria via LeMat-Bulk. Energies are from PBE.

a b c (Å): 7.1528 12.3899 6.9211
angles (deg): 90.00 110.15 90.00
Space group C2/m (No. 12)
Symmetry-distinct sites (fractional):
Li: 0.0000 0.0000 0.0000 x2
Li: 0.0000 0.3316 0.0000 x4
Ce: 0.0000 0.5000 0.5000 x2
Np: 0.0000 0.1664 0.5000 x4
Se: 0.2451 0.1695 0.2434 x8
Se: 0.2476 0.0000 0.7588 x4

Calculated total energy in eV/cell: -148.9
Fermi-level density of states in states/eV/cell: 51.160


(3)
Here is a relaxed structure of Pm2HgBi from Alexandria via LeMat-Bulk. Energies are from PBE.

a b c (Å): 4.3154 24.7897 4.7382
angles (deg): 90.00 90.00 90.00
Space group Cmcm (No. 63)
Symmetry-distinct sites (fractional):
Pm: 0.0000 0.0623 0.2500 x4
Pm: 0.0000 0.3189 0.2500 x4
Hg: 0.0000 0.4567 0.2500 x4
Bi: 0.0000 0.1891 0.2500 x4

Calculated total energy in eV/cell: -65.0
Fermi-level density of states in states/eV/cell: 11.328
E_form in meV/atom: -640


(4)
Here is a relaxed structure of Pr2Zn15Hg2 from Alexandria via LeMat-Bulk. Energies are from PBE.

a b c (Å): 9.2343 9.2343 13.4696
angles (deg): 90.00 90.00 120.00
Space group R-3m (No. 166, hexagonal axes)
Symmetry-distinct sites (fractional):
Pr: 0.0000 0.0000 0.1594 x6
Zn: 0.0000 0.3001 0.5000 x18
Zn: 0.0000 0.5000 0.0000 x9
Zn: 0.0144 0.5072 0.6543 x18
Hg: 0.0000 0.0000 0.3932 x6

Calculated total energy in eV/cell: -100.5
Fermi-level density of states in states/eV/cell: 10.248
E_form in meV/atom: -222


(5)
Here is a relaxed structure of TbMgAgPt from Alexandria via LeMat-Bulk. Energies are from PBE.

a b c (Å): 6.8631 6.8631 6.8631
angles (deg): 90.00 90.00 90.00
Space group F-43m (No. 216)
Symmetry-distinct sites (fractional):
Tb: 0.0000 0.0000 0.0000 x4
Mg: 0.0000 0.0000 0.5000 x4
Ag: 0.2500 0.2500 0.7500 x4
Pt: 0.2500 0.2500 0.2500 x4

Calculated total energy in eV/cell: -71.3
Fermi-level density of states in states/eV/cell: 10.023
E_form in meV/atom: -677


(6)
Here is a relaxed structure of Er3Zn2In from Alexandria via LeMat-Bulk. Energies are from PBE.

a b c (Å): 3.5411 3.5411 11.1749
angles (deg): 90.00 90.00 90.00
Space group P4/mmm (No. 123)
Symmetry-distinct sites (fractional):
Er: 0.0000 0.0000 0.0000 x1
Er: 0.0000 0.0000 0.3135 x2
Zn: 0.5000 0.5000 0.1537 x2
In: 0.5000 0.5000 0.5000 x1

Calculated total energy in eV/cell: -21.3
Fermi-level density of states in states/eV/cell: 5.972
E_form in meV/atom: -389


(7)
Here is a relaxed structure of In6AgHg2 from Alexandria via LeMat-Bulk. Energies are from PBE.

a b c (Å): 8.3646 13.7254 8.3226
angles (deg): 90.00 100.03 90.00
Space group C2/c (No. 15)
Symmetry-distinct sites (fractional):
In: 0.0687 0.1337 0.4434 x8
In: 0.1939 0.4614 0.8275 x8
In: 0.2178 0.2227 0.8092 x8
Ag: 0.0000 0.0512 0.7500 x4
Hg: 0.0508 0.3582 0.4728 x8

Calculated total energy in eV/cell: -78.5
Fermi-level density of states in states/eV/cell: 11.446
E_form in meV/atom: 30


(8)
Here is a relaxed structure of Ti3CuRu from Alexandria via LeMat-Bulk. Energies are from PBE.

a b c (Å): 4.4893 4.4893 4.4893
angles (deg): 90.00 90.00 90.00
Space group Pm-3m (No. 221)
Symmetry-distinct sites (fractional):
Ti: 0.0000 0.0000 0.5000 x3
Cu: 0.0000 0.0000 0.0000 x1
Ru: 0.5000 0.5000 0.5000 x1

Calculated total energy in eV/cell: -33.0
Fermi-level density of states in states/eV/cell: 9.063
E_form in meV/atom: 809


(9)
Here is a relaxed structure of Li2CaI from Alexandria via LeMat-Bulk. Energies are from PBE.

a b c (Å): 8.7507 8.7507 6.4384
angles (deg): 90.00 90.00 90.00
Space group I-42d (No. 122)
Symmetry-distinct sites (fractional):
Li: 0.1916 0.2500 0.1250 x8
Ca: 0.0000 0.0000 0.5000 x4
I: 0.0000 0.0000 0.0000 x4

Calculated total energy in eV/cell: -35.1
Fermi-level density of states in states/eV/cell: 8.362


(10)
Here is a relaxed structure of SrY3Hg2 from Alexandria via LeMat-Bulk. Energies are from PBE.

a b c (Å): 5.1787 9.3627 7.4423
angles (deg): 90.00 90.00 90.00
Space group Pmc2_1 (No. 26)
Symmetry-distinct sites (fractional):
Sr: 0.0000 0.0633 0.0000 x2
Y: 0.0000 0.3312 0.6403 x2
Y: 0.5000 0.1801 0.3262 x2
Y: 0.5000 0.4390 0.9666 x2
Hg: 0.0000 0.3570 0.2350 x2
Hg: 0.5000 0.1553 0.7331 x2

Calculated total energy in eV/cell: -47.3
Fermi-level density of states in states/eV/cell: 12.214
E_form in meV/atom: -331


(11)
Here is a relaxed structure of TlZnSi2 from Alexandria via LeMat-Bulk. Energies are from PBE.

a b c (Å): 4.7659 4.7659 3.5105
angles (deg): 90.00 90.00 90.00
Space group P4/mmm (No. 123)
Symmetry-distinct sites (fractional):
Tl: 0.0000 0.0000 0.0000 x1
Zn: 0.5000 0.5000 0.0000 x1
Si: 0.0000 0.5000 0.5000 x2

Calculated total energy in eV/cell: -11.8
Fermi-level density of states in states/eV/cell: 1.994